RbMgTl (PBE, optimized geometry); energy relative to the elements = -0.02 eV per atom; density of states at the Fermi level = 0.693 states/eV per atom; space-group type = P2_1/m (11); electronic total energy = -1.665 eV/atom; crystal system = monoclinic
1.0
-3.695 -1.418 0.069
1.262 -3.192 1.976
-2.313 6.715 12.326
Tl Rb Mg
2 2 2
direct
0.252 0.750 0.669
0.748 0.250 0.331
0.247 0.750 0.155
0.753 0.250 0.845
0.751 0.250 0.558
0.249 0.750 0.442

---

RbMg4Tl8 (PBE, optimized geometry); energy relative to the elements = -0.04 eV per atom; density of states at the Fermi level = 0.550 states/eV per atom; space-group type = I4/mmm (139); electronic total energy = -2.057 eV/atom; crystal system = tetragonal
1.0
6.362 0.000 0.000
3.181 7.687 0.000
3.181 0.000 7.687
Tl Mg Rb
8 4 1
direct
0.722 0.778 0.778
0.000 0.652 0.348
0.652 0.348 0.348
0.500 0.778 0.222
0.500 0.222 0.778
0.000 0.348 0.652
0.348 0.652 0.652
0.278 0.222 0.222
0.500 0.500 0.000
0.000 0.000 0.500
0.000 0.500 0.000
0.500 0.000 0.500
0.000 0.000 0.000

---

RbMg4Tl (PBE, optimized geometry); energy relative to the elements = 0.14 eV per atom; density of states at the Fermi level = 0.944 states/eV per atom; space-group type = F-43m (216); electronic total energy = -1.476 eV/atom; crystal system = cubic
1.0
-1.556 5.955 -1.600
-3.427 3.572 3.992
2.710 4.910 2.998
Rb Mg Tl
1 4 1
direct
0.250 0.250 0.250
0.626 0.626 0.122
0.626 0.122 0.626
0.626 0.626 0.626
0.122 0.626 0.626
0.000 0.000 0.000

---

RbMgTl (PBE, optimized geometry); energy relative to the elements = 0.03 eV per atom; density of states at the Fermi level = 0.594 states/eV per atom; space-group type = Cm (8); electronic total energy = -1.618 eV/atom; crystal system = monoclinic
1.0
5.501 0.000 -0.020
0.000 9.356 0.000
-5.489 0.000 8.712
Mg Rb Tl
4 4 4
direct
0.154 0.827 0.698
0.154 0.327 0.198
0.154 0.173 0.698
0.154 0.673 0.198
0.893 0.000 0.938
0.741 0.000 0.286
0.741 0.500 0.786
0.893 0.500 0.438
0.481 0.829 0.525
0.481 0.171 0.525
0.481 0.329 0.025
0.481 0.671 0.025